GGA-PBE W2SCl, relaxed; energy above the most stable polymorph in this dataset = 0.00 kcal/mol of atoms; density of states at the Fermi level = 2.9 states/eV per cell; formation energy without anion corrections = 0.85 eV per atom
1.0
2.661 -3.173 1.176
-1.589 -3.851 1.087
0.594 -3.384 -2.594
S W Cl
1 2 1
direct
0.000 0.000 0.000
0.250 0.250 0.250
0.750 0.750 0.750
0.500 0.500 0.500

GGA-PBE FeNi3N, relaxed; energy above the most stable polymorph in this dataset = 0.00 kcal/mol of atoms; density of states at the Fermi level = 9.7 states/eV per cell; formation energy without anion corrections = 0.12 eV per atom
1.0
3.755 0.000 0.000
0.000 3.755 0.000
0.000 0.000 3.755
Ni Fe N
3 1 1
direct
0.000 0.500 0.000
0.000 0.000 0.500
0.500 0.000 0.000
0.500 0.500 0.500
0.000 0.000 0.000

GGA-PBE La2SiGe, relaxed; density of states at the Fermi level = 6.5 states/eV per cell; formation energy without anion corrections = -0.37 eV per atom
1.0
8.121 0.000 0.000
0.000 8.121 0.000
4.060 4.060 3.521
Ge Si La
2 2 4
direct
0.000 0.000 0.000
0.750 0.250 0.500
0.500 0.500 0.000
0.250 0.750 0.500
0.622 0.125 0.250
0.128 0.625 0.250
0.375 0.378 0.750
0.875 0.872 0.750

GGA-PBE DyEr3Se6, relaxed; energy above the most stable polymorph in this dataset = 0.00 kcal/mol of atoms; formation energy without anion corrections = -1.86 eV per atom
1.0
4.071 0.000 0.000
0.000 10.872 -3.766
0.000 -0.016 11.779
Dy Er Se
2 6 12
direct
0.750 0.044 0.693
0.250 0.956 0.307
0.750 0.433 0.833
0.250 0.567 0.167
0.750 0.683 0.501
0.250 0.317 0.499
0.750 0.159 0.083
0.250 0.841 0.917
0.750 0.480 0.615
0.250 0.520 0.385
0.750 0.917 0.098
0.250 0.083 0.902
0.750 0.396 0.062
0.250 0.604 0.938
0.750 0.746 0.277
0.250 0.254 0.723
0.750 0.112 0.465
0.250 0.888 0.535
0.750 0.807 0.750
0.250 0.193 0.250

GGA-PBE MgCo2Ir, relaxed; density of states at the Fermi level = 4.8 states/eV per cell; energy of formation from the pure elements = 0.06 eV/atom
1.0
-1.378 -0.132 4.433
1.077 -1.308 4.323
1.892 3.799 1.591
Co Ir Mg
2 1 1
direct
0.990 0.990 0.022
0.510 0.510 0.478
0.250 0.250 0.250
0.750 0.750 0.750